{"formula": "Tl5PbO4", "functional": "GGA-PBE", "state": "relaxed", "magmom_total_mub_per_cell": 0.0, "formation_energy_uncorrected_kj_per_mol_fu": -610, "sg": "C2/m, No. 12", "lattice_angstrom": [[8.535, -1.764, 0.000], [8.535, 1.764, 0.000], [-1.671, 0.000, 7.466]], "species": ["Tl", "Tl", "Tl", "Tl", "Tl", "Pb", "O", "O", "O", "O"], "frac_coords": [[0.000, 0.000, 0.000], [0.336, 0.336, 0.199], [0.343, 0.343, 0.677], [0.657, 0.657, 0.323], [0.664, 0.664, 0.801], [0.000, 0.000, 0.500], [0.136, 0.136, 0.546], [0.493, 0.493, 0.298], [0.507, 0.507, 0.702], [0.864, 0.864, 0.454]]}